Compound: CsPmCo2Br8
Source: Alexandria
Functional: PBE
Structure: optimized geometry

Cell: 6.9148 6.9148 10.6926 Å, 96.46 96.46 68.59°
Closest atoms and distances in Å follow each position.
Element x y z (fractional)
Cs 0.0000 0.0000 0.0000  6 Br 3.79-3.87
Pm 0.0000 0.0000 0.5000  6 Br 2.88-2.91
Co 0.3875 0.3875 0.7056  4 Br 2.33-2.44
Co 0.6125 0.6125 0.2944  4 Br 2.33-2.44
Br 0.2347 0.7267 0.2988  1 Co 2.44
Br 0.2529 0.2529 0.5108  1 Co 2.41
Br 0.2733 0.7653 0.7012  1 Co 2.44
Br 0.3126 0.3126 0.8979  1 Co 2.33
Br 0.6874 0.6874 0.1021  1 Co 2.33
Br 0.7267 0.2347 0.2988  1 Co 2.44
Br 0.7471 0.7471 0.4892  1 Co 2.41
Br 0.7653 0.2733 0.7012  1 Co 2.44

Energy relative to the elements, uncorrected: -1.05 eV per atom
Symmetry: C2/m, No. 12